Model A:
! KYSc2 (PBE, optimized geometry); values from VASP
&SYSTEM
  ibrav = 0, nat = 4, ntyp = 3
/
ATOMIC_SPECIES
Sc 44.96 Sc.upf
Y 88.91 Y.upf
K 39.10 K.upf
ATOMIC_POSITIONS crystal
Sc 0.748 0.748 0.760
Sc 0.010 0.010 0.928
Y 0.490 0.490 0.568
K 0.252 0.252 0.244
CELL_PARAMETERS angstrom
5.781 -0.004 -0.011
4.808 3.209 -0.011
0.709 0.215 7.442
! symmetry: Cm
! DOS at the Fermi energy: 1.96 states/eV/atom

***

Model B:
! KYSc2 (PBE, optimized geometry); values from VASP
&SYSTEM
  ibrav = 0, nat = 4, ntyp = 3
/
ATOMIC_SPECIES
Sc 44.96 Sc.upf
K 39.10 K.upf
Y 88.91 Y.upf
ATOMIC_POSITIONS crystal
Sc 0.500 0.500 0.000
Sc 0.000 0.000 0.000
K 0.000 0.500 0.500
Y 0.500 0.000 0.500
CELL_PARAMETERS angstrom
5.982 0.000 0.000
0.000 5.982 0.000
0.000 0.000 3.542
! symmetry: P4/mmm
! DOS at the Fermi energy: 1.86 states/eV/atom

***

Model C:
! KYSc2 (PBE, optimized geometry); values from VASP
&SYSTEM
  ibrav = 0, nat = 4, ntyp = 3
/
ATOMIC_SPECIES
Y 88.91 Y.upf
Sc 44.96 Sc.upf
K 39.10 K.upf
ATOMIC_POSITIONS crystal
Y 0.250 0.250 0.250
Sc 0.989 0.989 0.989
Sc 0.511 0.511 0.511
K 0.750 0.750 0.750
CELL_PARAMETERS angstrom
-10.655 1.974 6.268
-11.035 -1.437 5.735
-9.217 -0.298 8.466
! symmetry: R-3m
! DOS at the Fermi energy: 1.95 states/eV/atom

***

It is model C that is most stable; the runner-up trails by 131 meV/atom.

***

Model A:
! K2YSc (PBE, optimized geometry); values from VASP
&SYSTEM
  ibrav = 0, nat = 8, ntyp = 3
/
ATOMIC_SPECIES
Y 88.91 Y.upf
K 39.10 K.upf
Sc 44.96 Sc.upf
ATOMIC_POSITIONS crystal
Y 0.750 0.250 0.500
Y 0.000 0.000 0.000
K 0.612 0.125 0.250
K 0.375 0.388 0.750
K 0.875 0.862 0.750
K 0.138 0.625 0.250
Sc 0.250 0.750 0.500
Sc 0.500 0.500 0.000
CELL_PARAMETERS angstrom
-0.403 5.237 8.659
7.028 -6.090 4.010
5.695 1.592 5.224
! symmetry: I-42d
! DOS at the Fermi energy: 1.45 states/eV/atom

***

Model B:
! K2YSc (PBE, optimized geometry); values from VASP
&SYSTEM
  ibrav = 0, nat = 4, ntyp = 3
/
ATOMIC_SPECIES
K 39.10 K.upf
Sc 44.96 Sc.upf
Y 88.91 Y.upf
ATOMIC_POSITIONS crystal
K 0.736 0.236 0.500
K 0.005 0.005 0.000
Sc 0.476 0.476 0.000
Y 0.283 0.783 0.500
CELL_PARAMETERS angstrom
7.854 0.007 -0.003
3.798 6.874 0.003
-4.627 -5.471 3.216
! symmetry: Imm2
! DOS at the Fermi energy: 1.40 states/eV/atom

***

Model C:
! K2YSc (PBE, optimized geometry); values from VASP
&SYSTEM
  ibrav = 0, nat = 4, ntyp = 3
/
ATOMIC_SPECIES
K 39.10 K.upf
Sc 44.96 Sc.upf
Y 88.91 Y.upf
ATOMIC_POSITIONS crystal
K 0.000 0.000 0.492
K 0.000 0.000 0.008
Sc 0.500 0.500 0.250
Y 0.500 0.500 0.750
CELL_PARAMETERS angstrom
-1.022 3.216 -0.542
-2.942 -0.664 1.607
5.677 3.826 11.979
! symmetry: P4/mmm
! DOS at the Fermi energy: 1.57 states/eV/atom

***

Model D:
! K2YSc (PBE, optimized geometry); values from VASP
&SYSTEM
  ibrav = 0, nat = 4, ntyp = 3
/
ATOMIC_SPECIES
K 39.10 K.upf
Sc 44.96 Sc.upf
Y 88.91 Y.upf
ATOMIC_POSITIONS crystal
K 0.250 0.250 0.250
K 0.750 0.750 0.750
Sc 0.000 0.000 0.000
Y 0.500 0.500 0.500
CELL_PARAMETERS angstrom
-1.501 0.721 5.934
-4.456 -3.452 2.493
1.423 -4.382 4.093
! symmetry: Fm-3m
! DOS at the Fermi energy: 1.68 states/eV/atom

***

It is model B that is most stable; the runner-up trails by 49 meV/atom.

***

Model A:
! K2YSc (PBE, optimized geometry); values from VASP
&SYSTEM
  ibrav = 0, nat = 4, ntyp = 3
/
ATOMIC_SPECIES
Sc 44.96 Sc.upf
K 39.10 K.upf
Y 88.91 Y.upf
ATOMIC_POSITIONS crystal
Sc 0.500 0.500 0.250
K 0.000 0.000 0.497
K 0.000 0.000 0.003
Y 0.500 0.500 0.750
CELL_PARAMETERS angstrom
-0.789 -2.552 2.120
-4.177 -2.707 -4.811
5.204 -3.654 -2.463
! symmetry: Pmmm
! DOS at the Fermi energy: 1.47 states/eV/atom

***

Model B:
! K2YSc (PBE, optimized geometry); values from VASP
&SYSTEM
  ibrav = 0, nat = 4, ntyp = 3
/
ATOMIC_SPECIES
K 39.10 K.upf
Sc 44.96 Sc.upf
Y 88.91 Y.upf
ATOMIC_POSITIONS crystal
K 0.000 0.000 0.000
K 0.000 0.500 0.500
Sc 0.500 0.500 0.000
Y 0.500 0.000 0.500
CELL_PARAMETERS angstrom
-5.492 2.714 -3.269
0.569 -3.163 -3.582
-2.889 -3.102 2.279
! symmetry: P4/mmm
! DOS at the Fermi energy: 1.56 states/eV/atom

***

It is model B that is most stable; the runner-up trails by 7 meV/atom.

***

Model A:
! K2YSc (PBE, optimized geometry); values from VASP
&SYSTEM
  ibrav = 0, nat = 4, ntyp = 3
/
ATOMIC_SPECIES
K 39.10 K.upf
Y 88.91 Y.upf
Sc 44.96 Sc.upf
ATOMIC_POSITIONS crystal
K 0.000 0.000 0.006
K 0.000 0.000 0.494
Y 0.500 0.500 0.750
Sc 0.500 0.500 0.250
CELL_PARAMETERS angstrom
-3.010 -1.638 -0.869
2.988 -1.356 -1.315
1.226 -8.239 11.277
! symmetry: Cmmm
! DOS at the Fermi energy: 1.63 states/eV/atom

***

Model B:
! K2YSc (PBE, optimized geometry); values from VASP
&SYSTEM
  ibrav = 0, nat = 4, ntyp = 3
/
ATOMIC_SPECIES
K 39.10 K.upf
Sc 44.96 Sc.upf
Y 88.91 Y.upf
ATOMIC_POSITIONS crystal
K 0.250 0.750 0.500
K 0.000 0.000 0.000
Sc 0.500 0.500 0.000
Y 0.750 0.250 0.500
CELL_PARAMETERS angstrom
6.166 -0.007 0.000
0.032 6.166 0.000
-3.099 -3.080 4.351
! symmetry: I-4m2
! DOS at the Fermi energy: 2.57 states/eV/atom

***

It is model A that is most stable; the runner-up trails by 181 meV/atom.

***

Model A:
! K2YSc (PBE, optimized geometry); values from VASP
&SYSTEM
  ibrav = 0, nat = 4, ntyp = 3
/
ATOMIC_SPECIES
K 39.10 K.upf
Sc 44.96 Sc.upf
Y 88.91 Y.upf
ATOMIC_POSITIONS crystal
K 0.500 0.500 0.000
K 0.000 0.000 0.000
Sc 0.500 0.000 0.500
Y 0.000 0.500 0.500
CELL_PARAMETERS angstrom
7.732 0.039 0.000
-4.736 6.112 0.000
0.000 0.000 3.403
! symmetry: Cmmm
! DOS at the Fermi energy: 1.50 states/eV/atom

***

Model B:
! K2YSc (PBE, optimized geometry); values from VASP
&SYSTEM
  ibrav = 0, nat = 4, ntyp = 3
/
ATOMIC_SPECIES
Y 88.91 Y.upf
K 39.10 K.upf
Sc 44.96 Sc.upf
ATOMIC_POSITIONS crystal
Y 0.250 0.750 0.500
K 0.515 0.515 0.000
K 0.985 0.985 0.000
Sc 0.750 0.250 0.500
CELL_PARAMETERS angstrom
7.904 0.004 0.003
4.790 6.287 -0.003
-5.649 -4.553 3.135
! symmetry: Immm
! DOS at the Fermi energy: 1.71 states/eV/atom

***

It is model B that is most stable; the runner-up trails by 101 meV/atom.

***

Model A:
! K2YSc (PBE, optimized geometry); values from VASP
&SYSTEM
  ibrav = 0, nat = 4, ntyp = 3
/
ATOMIC_SPECIES
K 39.10 K.upf
Sc 44.96 Sc.upf
Y 88.91 Y.upf
ATOMIC_POSITIONS crystal
K 0.502 0.502 0.502
K 0.998 0.998 0.998
Sc 0.250 0.250 0.250
Y 0.750 0.750 0.750
CELL_PARAMETERS angstrom
14.222 0.021 0.012
13.768 3.564 0.012
13.768 1.763 3.097
! symmetry: R-3m
! DOS at the Fermi energy: 1.37 states/eV/atom

***

Model B:
! K2YSc (PBE, optimized geometry); values from VASP
&SYSTEM
  ibrav = 0, nat = 4, ntyp = 3
/
ATOMIC_SPECIES
K 39.10 K.upf
Y 88.91 Y.upf
Sc 44.96 Sc.upf
ATOMIC_POSITIONS crystal
K 0.755 0.755 0.726
K 0.996 0.996 0.025
Y 0.239 0.239 0.311
Sc 0.510 0.510 0.439
CELL_PARAMETERS angstrom
-3.618 1.963 4.442
-5.681 1.210 1.713
-1.323 -7.893 3.179
! symmetry: Cm
! DOS at the Fermi energy: 1.51 states/eV/atom

***

It is model B that is most stable; the runner-up trails by 17 meV/atom.